Entry 1:
Density functional theory data (PBE-GGA) for a relaxed ScBe2IF crystal.

Summary:
total magnetic moment	0.000	μB/cell
E_tot	-13.8	eV per cell
formation energy from raw total energies	679	meV per atom

The structure in CIF format:
```
data_ScBe2IF
_space_group_name_H-M_alt 'P 4/m m m'
_space_group_IT_number 123
_space_group_name_Hall '-P 4 2'
_cell_length_a 5.281
_cell_length_b 5.281
_cell_length_c 5.371
_cell_angle_alpha 90.00
_cell_angle_beta 90.00
_cell_angle_gamma 90.00
loop_
_atom_site_label
_atom_site_type_symbol
_atom_site_fract_x
_atom_site_fract_y
_atom_site_fract_z
Sc1 Sc 0.000 0.000 0.000
Be1 Be 0.000 0.500 0.000
I1 I 0.000 0.000 0.500
F1 F 0.500 0.500 0.500
```

***

Entry 2:
Density functional theory data (PBE-GGA) for a relaxed CdSnP2Se crystal.

Summary:
total magnetic moment	0.548	μB/cell
E_tot	-15.1	eV per cell
formation energy from raw total energies	822	meV per atom

The structure in CIF format:
```
data_CdSnP2Se
_space_group_name_H-M_alt 'P 4/m m m'
_space_group_IT_number 123
_space_group_name_Hall '-P 4 2'
_cell_length_a 4.936
_cell_length_b 4.936
_cell_length_c 5.361
_cell_angle_alpha 90.00
_cell_angle_beta 90.00
_cell_angle_gamma 90.00
loop_
_atom_site_label
_atom_site_type_symbol
_atom_site_fract_x
_atom_site_fract_y
_atom_site_fract_z
Cd1 Cd 0.000 0.000 0.000
Sn1 Sn 0.500 0.500 0.500
P1 P 0.000 0.500 0.000
Se1 Se 0.000 0.000 0.500
```

***

Entry 3:
Density functional theory data (PBE-GGA) for a relaxed PmSmSnAu crystal.

Summary:
total magnetic moment	3.141	μB/cell
E_tot	-78.5	eV per cell
E_form	-0.719	eV per atom

The structure in CIF format:
```
data_PmSmSnAu
_space_group_name_H-M_alt 'F -4 3 m'
_space_group_IT_number 216
_space_group_name_Hall 'F -4 2 3'
_cell_length_a 7.547
_cell_length_b 7.547
_cell_length_c 7.547
_cell_angle_alpha 90.00
_cell_angle_beta 90.00
_cell_angle_gamma 90.00
loop_
_atom_site_label
_atom_site_type_symbol
_atom_site_fract_x
_atom_site_fract_y
_atom_site_fract_z
Pm1 Pm 0.000 0.000 0.000
Sm1 Sm 0.000 0.000 0.500
Sn1 Sn 0.250 0.250 0.250
Au1 Au 0.250 0.250 0.750
```

***

Entry 4:
Density functional theory data (PBE-GGA) for a relaxed La3PuP4 crystal.

Summary:
distance to the lowest polymorph of the same formula	0.000	eV/f.u.
total magnetic moment	9.817	μB/cell
E_tot	-124.5	eV per cell
E_form	-1.440	eV per atom

The structure in CIF format:
```
data_La3PuP4
_space_group_name_H-M_alt 'P 1 2/c 1'
_space_group_IT_number 13
_cell_length_a 7.280
_cell_length_b 8.418
_cell_length_c 7.284
_cell_angle_alpha 90.00
_cell_angle_beta 109.54
_cell_angle_gamma 90.00
loop_
_space_group_symop_operation_xyz
'x,y,z'
'-x,-y,-z'
'-x,y,-z+1/2'
'x,-y,z+1/2'
loop_
_atom_site_label
_atom_site_type_symbol
_atom_site_fract_x
_atom_site_fract_y
_atom_site_fract_z
La1 La 0.000 0.124 0.250
La2 La 0.000 0.374 0.750
La3 La 0.500 0.374 0.250
Pu1 Pu 0.500 0.124 0.750
P1 P 0.255 0.368 0.508
P2 P 0.266 0.117 0.998
```